1.
Cr2Ir2S | meta-GGA SCAN | single point on PBEsol structure

The structure in CIF format:
```
data_Cr2Ir2S
_space_group_name_H-M_alt 'P 1'
_space_group_IT_number 1
_cell_length_a 6.983
_cell_length_b 6.983
_cell_length_c 6.983
_cell_angle_alpha 153.46
_cell_angle_beta 153.46
_cell_angle_gamma 37.88
loop_
_space_group_symop_operation_xyz
'x,y,z'
loop_
_atom_site_label
_atom_site_fract_x
_atom_site_fract_y
_atom_site_fract_z
_atom_site_occupancy
Cr1 0.250 0.750 0.500 1
Cr2 0.750 0.250 0.500 1
Ir1 0.102 0.102 0.000 1
Ir2 0.898 0.898 0.000 1
S1 0.500 0.500 0.000 1
```

Properties
* spin magnetization: 0.000 μB/atom
* formation energy (no corrections): 0.42 eV/atom



2.
Y6Te2P | meta-GGA SCAN | single point on PBEsol structure

The structure in CIF format:
```
data_Y6Te2P
_space_group_name_H-M_alt 'P 1'
_space_group_IT_number 1
_cell_length_a 21.260
_cell_length_b 3.971
_cell_length_c 11.248
_cell_angle_alpha 90.00
_cell_angle_beta 90.00
_cell_angle_gamma 90.00
loop_
_space_group_symop_operation_xyz
'x,y,z'
loop_
_atom_site_label
_atom_site_fract_x
_atom_site_fract_y
_atom_site_fract_z
_atom_site_occupancy
Y1 0.002 0.250 0.118 1
Y2 0.026 0.750 0.384 1
Y3 0.112 0.250 0.812 1
Y4 0.141 0.750 0.067 1
Y5 0.150 0.250 0.537 1
Y6 0.239 0.750 0.751 1
Y7 0.261 0.250 0.251 1
Y8 0.350 0.750 0.037 1
Y9 0.359 0.250 0.567 1
Y10 0.388 0.750 0.312 1
Y11 0.474 0.250 0.884 1
Y12 0.498 0.750 0.618 1
Y13 0.502 0.250 0.382 1
Y14 0.526 0.750 0.116 1
Y15 0.612 0.250 0.688 1
Y16 0.641 0.750 0.433 1
Y17 0.650 0.250 0.963 1
Y18 0.739 0.750 0.749 1
Y19 0.761 0.250 0.249 1
Y20 0.850 0.750 0.463 1
Y21 0.859 0.250 0.933 1
Y22 0.888 0.750 0.188 1
Y23 0.974 0.250 0.616 1
Y24 0.998 0.750 0.882 1
Te1 0.121 0.250 0.276 1
Te2 0.241 0.250 0.967 1
Te3 0.259 0.750 0.467 1
Te4 0.379 0.750 0.776 1
Te5 0.621 0.250 0.224 1
Te6 0.741 0.250 0.533 1
Te7 0.759 0.750 0.033 1
Te8 0.879 0.750 0.724 1
P1 0.067 0.750 0.632 1
P2 0.433 0.250 0.132 1
P3 0.567 0.750 0.868 1
P4 0.933 0.250 0.368 1
```

Properties
* spin magnetization: 0.102 μB/atom
* formation energy (no corrections): -1.07 eV/atom



3.
CdP2O6 | meta-GGA SCAN | single point on PBEsol structure

The structure in CIF format:
```
data_CdP2O6
_space_group_name_H-M_alt 'P 1'
_space_group_IT_number 1
_cell_length_a 7.043
_cell_length_b 9.667
_cell_length_c 13.687
_cell_angle_alpha 90.00
_cell_angle_beta 90.00
_cell_angle_gamma 90.00
loop_
_space_group_symop_operation_xyz
'x,y,z'
loop_
_atom_site_label
_atom_site_fract_x
_atom_site_fract_y
_atom_site_fract_z
_atom_site_occupancy
Cd1 0.050 0.008 0.206 1
Cd2 0.050 0.492 0.706 1
Cd3 0.450 0.508 0.206 1
Cd4 0.450 0.992 0.706 1
Cd5 0.550 0.008 0.294 1
Cd6 0.550 0.492 0.794 1
Cd7 0.950 0.508 0.294 1
Cd8 0.950 0.992 0.794 1
P1 0.084 0.700 0.098 1
P2 0.084 0.800 0.598 1
P3 0.184 0.711 0.894 1
P4 0.184 0.789 0.394 1
P5 0.316 0.211 0.894 1
P6 0.316 0.289 0.394 1
P7 0.416 0.200 0.098 1
P8 0.416 0.300 0.598 1
P9 0.584 0.700 0.402 1
P10 0.584 0.800 0.902 1
P11 0.684 0.711 0.606 1
P12 0.684 0.789 0.106 1
P13 0.816 0.211 0.606 1
P14 0.816 0.289 0.106 1
P15 0.916 0.200 0.402 1
P16 0.916 0.300 0.902 1
O1 0.013 0.703 0.373 1
O2 0.013 0.797 0.873 1
O3 0.138 0.652 0.603 1
O4 0.138 0.848 0.103 1
O5 0.142 0.598 0.177 1
O6 0.142 0.902 0.677 1
O7 0.143 0.184 0.411 1
O8 0.143 0.316 0.911 1
O9 0.159 0.634 0.997 1
O10 0.159 0.866 0.497 1
O11 0.242 0.600 0.822 1
O12 0.242 0.900 0.322 1
O13 0.258 0.100 0.822 1
O14 0.258 0.400 0.322 1
O15 0.341 0.134 0.997 1
O16 0.341 0.366 0.497 1
O17 0.357 0.684 0.411 1
O18 0.357 0.816 0.911 1
O19 0.358 0.098 0.177 1
O20 0.358 0.402 0.677 1
O21 0.362 0.152 0.603 1
O22 0.362 0.348 0.103 1
O23 0.487 0.203 0.373 1
O24 0.487 0.297 0.873 1
O25 0.513 0.703 0.127 1
O26 0.513 0.797 0.627 1
O27 0.638 0.652 0.897 1
O28 0.638 0.848 0.397 1
O29 0.642 0.598 0.323 1
O30 0.642 0.902 0.823 1
O31 0.643 0.184 0.089 1
O32 0.643 0.316 0.589 1
O33 0.659 0.634 0.503 1
O34 0.659 0.866 0.003 1
O35 0.742 0.600 0.678 1
O36 0.742 0.900 0.178 1
O37 0.758 0.100 0.678 1
O38 0.758 0.400 0.178 1
O39 0.841 0.134 0.503 1
O40 0.841 0.366 0.003 1
O41 0.857 0.684 0.089 1
O42 0.857 0.816 0.589 1
O43 0.858 0.098 0.323 1
O44 0.858 0.402 0.823 1
O45 0.862 0.152 0.897 1
O46 0.862 0.348 0.397 1
O47 0.987 0.203 0.127 1
O48 0.987 0.297 0.627 1
```

Properties
* spin magnetization: 0.000 μB/atom
* formation energy (no corrections): -2.22 eV/atom



Q: Among the records above, which one has the highest formation energy (no corrections)?
A: Cr2Ir2S



Q: Which value of formation energy (no corrections) does entry 1 give?
A: 0.42 eV/atom



Q: Among the records above, which one has the highest spin magnetization?
A: Y6Te2P



Q: Number 1 is which compound?
A: Cr2Ir2S